[1]
Density functional theory data (PBE) for an optimized crystal structure of Ca3Pm3Sn4.

a = 4.5715 Å, b = 8.2066 Å, c = 8.2066 Å
α = 89.73°, β = 90.00°, γ = 90.00°
Last column: nearest neighbours and their distance in Å.
Atoms (fractional coordinates):
Ca: 0.0000 0.0000 0.0000  6 Sn 3.30-3.41
Ca: 0.5000 0.3245 0.8262  4 Sn 3.22-3.26
Ca: 0.5000 0.8262 0.3245  4 Sn 3.22-3.26
Pm: 0.0000 0.1526 0.5002  6 Sn 3.25-3.38
Pm: 0.0000 0.5002 0.1526  6 Sn 3.25-3.38
Pm: 0.0000 0.6536 0.6536  6 Sn 3.26-3.36
Sn: 0.5000 0.2042 0.2042  1 Sn 2.90
Sn: 0.5000 0.4532 0.4532  1 Sn 2.90, 2 Ca 3.23
Sn: 0.5000 0.6968 0.9498  1 Sn 2.93, 2 Ca 3.22-3.26, 2 Pm 3.25
Sn: 0.5000 0.9498 0.6968  1 Sn 2.93, 2 Ca 3.22-3.26, 2 Pm 3.25

## Properties
**Raw total energy**: -4.307 eV/atom
**Symmetry**: No. 38


[2]
Density functional theory data (PBE) for an optimized crystal structure of Ca2PmSn.

a = 5.6280 Å, b = 5.6280 Å, c = 5.6280 Å
α = 60.00°, β = 60.00°, γ = 60.00°
Last column: nearest neighbours and their distance in Å.
Atoms (fractional coordinates):
Ca: 0.2500 0.2500 0.2500  4 Sn 3.45, 4 Pm 3.45
Ca: 0.7500 0.7500 0.7500  4 Pm 3.45, 4 Sn 3.45
Pm: 0.0000 0.0000 0.0000  8 Ca 3.45
Sn: 0.5000 0.5000 0.5000  8 Ca 3.45

## Properties
**Symmetry**: No. 225
**Energy relative to the lowest polymorph listed for this composition**: 256 meV/atom


[3]
Density functional theory data (PBE) for an optimized crystal structure of CaPm4Sn15.

a = 4.7187 Å, b = 4.7187 Å, c = 24.2141 Å
α = 90.00°, β = 90.00°, γ = 90.00°
Last column: nearest neighbours and their distance in Å.
Atoms (fractional coordinates):
Ca: 0.0000 0.0000 0.0000  12 Sn 3.34-3.37
Pm: 0.0000 0.0000 0.2012  12 Sn 3.34-3.41
Pm: 0.0000 0.0000 0.4001  12 Sn 3.34-3.38
Pm: 0.0000 0.0000 0.5999  12 Sn 3.34-3.38
Pm: 0.0000 0.0000 0.7988  12 Sn 3.34-3.41
Sn: 0.0000 0.5000 0.0995  8 Sn 3.34-3.37, 2 Ca 3.37, 2 Pm 3.41
Sn: 0.0000 0.5000 0.3001  8 Sn 3.34-3.40, 4 Pm 3.36-3.38
Sn: 0.0000 0.5000 0.5000  8 Sn 3.34-3.37, 4 Pm 3.38
Sn: 0.0000 0.5000 0.6999  8 Sn 3.34-3.40, 4 Pm 3.36-3.38
Sn: 0.0000 0.5000 0.9005  8 Sn 3.34-3.37, 2 Ca 3.37, 2 Pm 3.41
Sn: 0.5000 0.0000 0.0995  8 Sn 3.34-3.37, 2 Ca 3.37, 2 Pm 3.41
Sn: 0.5000 0.0000 0.3001  8 Sn 3.34-3.40, 4 Pm 3.36-3.38
Sn: 0.5000 0.0000 0.5000  8 Sn 3.34-3.37, 4 Pm 3.38
Sn: 0.5000 0.0000 0.6999  8 Sn 3.34-3.40, 4 Pm 3.36-3.38
Sn: 0.5000 0.0000 0.9005  8 Sn 3.34-3.37, 2 Ca 3.37, 2 Pm 3.41
Sn: 0.5000 0.5000 0.0000  4 Ca 3.34, 8 Sn 3.37
Sn: 0.5000 0.5000 0.1990  4 Pm 3.34, 8 Sn 3.37-3.40
Sn: 0.5000 0.5000 0.4003  4 Pm 3.34, 8 Sn 3.37-3.38
Sn: 0.5000 0.5000 0.5997  4 Pm 3.34, 8 Sn 3.37-3.38
Sn: 0.5000 0.5000 0.8010  4 Pm 3.34, 8 Sn 3.37-3.40

## Properties
**Raw total energy**: -4.519 eV/atom
**Symmetry**: No. 123